Record 1
Material: CsAlN2O
Method: DFT, PBE-GGA
State: relaxed

Calculated values
E (eV per atom): -3.017
Space-group type: P4/mmm
V (A^3/atom): 16.71
Raw formation energy (kcal/mol of atoms): 51.28

a = 4.379 Å, b = 4.379 Å, c = 4.357 Å
α = 90.00°, β = 90.00°, γ = 90.00°
Fractional coordinates of all 5 atoms:
Cs1 0.000 0.000 0.000
Al1 0.500 0.500 0.500
N1 0.000 0.500 0.000
N2 0.500 0.000 0.000
O1 0.000 0.000 0.500



Record 2
Material: CsAlSN2
Method: DFT, PBE-GGA
State: relaxed

Calculated values
E (eV per atom): -2.782
Space-group type: P4/mmm
V (A^3/atom): 24.33
Raw formation energy (kcal/mol of atoms): 52.88
E above lowest polymorph (meV per atom): 1626

a = 4.221 Å, b = 4.221 Å, c = 6.829 Å
α = 90.00°, β = 90.00°, γ = 90.00°
Fractional coordinates of all 5 atoms:
Cs1 0.000 0.000 0.000
Al1 0.500 0.500 0.500
S1 0.000 0.000 0.500
N1 0.000 0.500 0.000
N2 0.500 0.000 0.000



Record 3
Material: CsAlS2N
Method: DFT, PBE-GGA
State: relaxed

Calculated values
E (eV per atom): -4.173
Space-group type: P4/mmm
V (A^3/atom): 21.28
Raw formation energy (kcal/mol of atoms): 1.43
E above lowest polymorph (meV per atom): 0

a = 5.242 Å, b = 5.242 Å, c = 3.872 Å
α = 90.00°, β = 90.00°, γ = 90.00°
Fractional coordinates of all 5 atoms:
Cs1 0.000 0.000 0.000
Al1 0.500 0.500 0.500
S1 0.000 0.500 0.500
S2 0.500 0.000 0.500
N1 0.500 0.500 0.000



Record 4
Material: CsAlSN2
Method: DFT, PBE-GGA
State: relaxed

Calculated values
E (eV per atom): -4.408
Space-group type: P4/mmm
V (A^3/atom): 18.27
Raw formation energy (kcal/mol of atoms): 15.38
E above lowest polymorph (meV per atom): 0

a = 4.324 Å, b = 4.324 Å, c = 4.884 Å
α = 90.00°, β = 90.00°, γ = 90.00°
Fractional coordinates of all 5 atoms:
Cs1 0.000 0.000 0.000
Al1 0.500 0.500 0.500
S1 0.500 0.500 0.000
N1 0.000 0.500 0.500
N2 0.500 0.000 0.500



Record 5
Material: CsAlS2N
Method: DFT, PBE-GGA
State: relaxed

Calculated values
E (eV per atom): -2.521
Space-group type: P4/mmm
V (A^3/atom): 35.09
Raw formation energy (kcal/mol of atoms): 39.53
E above lowest polymorph (meV per atom): 1652

a = 5.656 Å, b = 5.656 Å, c = 5.484 Å
α = 90.00°, β = 90.00°, γ = 90.00°
Fractional coordinates of all 5 atoms:
Cs1 0.000 0.000 0.000
Al1 0.500 0.500 0.500
S1 0.000 0.500 0.000
S2 0.500 0.000 0.000
N1 0.000 0.000 0.500



Record 6
Material: CsAlSe2N
Method: DFT, PBE-GGA
State: relaxed

Calculated values
E (eV per atom): -3.979
Space-group type: P4/mmm
V (A^3/atom): 25.05
Raw formation energy (kcal/mol of atoms): -0.01

a = 5.990 Å, b = 5.990 Å, c = 3.490 Å
α = 90.00°, β = 90.00°, γ = 90.00°
Fractional coordinates of all 5 atoms:
Cs1 0.000 0.000 0.000
Al1 0.500 0.500 0.500
Se1 0.000 0.500 0.500
Se2 0.500 0.000 0.500
N1 0.500 0.500 0.000



Record 7
Material: CsAlTe2N
Method: DFT, PBE-GGA
State: relaxed

Calculated values
E (eV per atom): -3.883
Space-group type: P4/mmm
V (A^3/atom): 29.36
Raw formation energy (kcal/mol of atoms): -0.98
E above lowest polymorph (meV per atom): 0

a = 6.489 Å, b = 6.489 Å, c = 3.486 Å
α = 90.00°, β = 90.00°, γ = 90.00°
Fractional coordinates of all 5 atoms:
Cs1 0.000 0.000 0.000
Al1 0.500 0.500 0.500
Te1 0.000 0.500 0.500
Te2 0.500 0.000 0.500
N1 0.500 0.500 0.000



Record 8
Material: CsAlTe2N
Method: DFT, PBE-GGA
State: relaxed

Calculated values
E (eV per atom): -2.131
Space-group type: P4/mmm
V (A^3/atom): 37.71
Raw formation energy (kcal/mol of atoms): 39.43
E above lowest polymorph (meV per atom): 1752

a = 6.725 Å, b = 6.725 Å, c = 4.170 Å
α = 90.00°, β = 90.00°, γ = 90.00°
Fractional coordinates of all 5 atoms:
Cs1 0.000 0.000 0.000
Al1 0.500 0.500 0.500
Te1 0.000 0.500 0.000
Te2 0.500 0.000 0.000
N1 0.000 0.000 0.500



Record 9
Material: CsNa3Al
Method: DFT, PBE-GGA
State: relaxed

Calculated values
E (eV per atom): -0.807
Space-group type: Pm-3m
Calculated formation energy (eV per atom): 0.90
V (A^3/atom): 59.52
E above lowest polymorph (meV per atom): 729

a = 6.677 Å, b = 6.677 Å, c = 6.677 Å
α = 90.00°, β = 90.00°, γ = 90.00°
Fractional coordinates of all 5 atoms:
Cs1 0.000 0.000 0.000
Na1 0.000 0.000 0.500
Na2 0.000 0.500 0.000
Na3 0.500 0.000 0.000
Al1 0.500 0.500 0.500



Record 10
Material: CsNa3Al
Method: DFT, PBE-GGA
State: relaxed

Calculated values
E (eV per atom): -1.536
Space-group type: Pm-3m
Calculated formation energy (eV per atom): 0.17
V (A^3/atom): 45.49
E above lowest polymorph (meV per atom): 0

a = 6.104 Å, b = 6.104 Å, c = 6.104 Å
α = 90.00°, β = 90.00°, γ = 90.00°
Fractional coordinates of all 5 atoms:
Cs1 0.000 0.000 0.000
Na1 0.000 0.500 0.500
Na2 0.500 0.000 0.500
Na3 0.500 0.500 0.000
Al1 0.500 0.500 0.500



Record 11
Material: CsNa2Al2
Method: DFT, PBE-GGA
State: relaxed

Calculated values
E (eV per atom): -1.890
Space-group type: I4/mmm
Calculated formation energy (eV per atom): 0.31
V (A^3/atom): 36.85
E above lowest polymorph (meV per atom): 34

a = 6.792 Å, b = 6.792 Å, c = 6.792 Å
α = 128.99°, β = 128.99°, γ = 75.02°
Fractional coordinates of all 5 atoms:
Cs1 0.000 0.000 0.000
Na1 0.250 0.750 0.500
Na2 0.750 0.250 0.500
Al1 0.382 0.382 0.000
Al2 0.618 0.618 0.000



Record 12
Material: CsNaAl2
Method: DFT, PBE-GGA
State: relaxed

Calculated values
E (eV per atom): -1.994
Space-group type: I-42d
Calculated formation energy (eV per atom): 0.42
V (A^3/atom): 38.92
E above lowest polymorph (meV per atom): 0

a = 12.094 Å, b = 12.094 Å, c = 12.094 Å
α = 155.18°, β = 155.18°, γ = 35.39°
Fractional coordinates of all 8 atoms:
Cs1 0.000 0.000 0.000
Cs2 0.750 0.250 0.500
Na1 0.250 0.750 0.500
Na2 0.500 0.500 0.000
Al1 0.316 0.125 0.691
Al2 0.375 0.684 0.809
Al3 0.434 0.625 0.309
Al4 0.875 0.566 0.191



Record 13
Material: CsNaAl
Method: DFT, PBE-GGA
State: relaxed

Calculated values
E (eV per atom): -1.770
Space-group type: Cmcm
Calculated formation energy (eV per atom): 0.20
V (A^3/atom): 51.02

a = 13.355 Å, b = 13.355 Å, c = 4.686 Å
α = 90.00°, β = 90.00°, γ = 158.51°
Fractional coordinates of all 6 atoms:
Cs1 0.165 0.835 0.750
Cs2 0.835 0.165 0.250
Na1 0.045 0.955 0.250
Na2 0.955 0.045 0.750
Al1 0.476 0.524 0.250
Al2 0.524 0.476 0.750



Record 14
Material: CsNa2Al
Method: DFT, PBE-GGA
State: relaxed

Calculated values
E (eV per atom): -1.425
Space-group type: I-42d
Calculated formation energy (eV per atom): 0.38
V (A^3/atom): 50.68

a = 11.825 Å, b = 11.825 Å, c = 11.825 Å
α = 150.28°, β = 150.28°, γ = 42.53°
Fractional coordinates of all 8 atoms:
Cs1 0.000 0.000 0.000
Cs2 0.750 0.250 0.500
Na1 0.303 0.625 0.178
Na2 0.375 0.553 0.678
Na3 0.447 0.125 0.822
Na4 0.875 0.697 0.322
Al1 0.250 0.750 0.500
Al2 0.500 0.500 0.000



Record 15
Material: Cs3NaAl
Method: DFT, PBE-GGA
State: relaxed

Calculated values
E (eV per atom): -0.978
Space-group type: Pm-3m
Calculated formation energy (eV per atom): 0.55
V (A^3/atom): 84.69

a = 7.509 Å, b = 7.509 Å, c = 7.509 Å
α = 90.00°, β = 90.00°, γ = 90.00°
Fractional coordinates of all 5 atoms:
Cs1 0.000 0.000 0.500
Cs2 0.000 0.500 0.000
Cs3 0.500 0.000 0.000
Na1 0.000 0.000 0.000
Al1 0.500 0.500 0.500



Record 16
Material: CsNaAl3
Method: DFT, PBE-GGA
State: relaxed

Calculated values
E (eV per atom): -1.260
Space-group type: Pm-3m
Calculated formation energy (eV per atom): 1.42
V (A^3/atom): 47.72
E above lowest polymorph (meV per atom): 583

a = 6.202 Å, b = 6.202 Å, c = 6.202 Å
α = 90.00°, β = 90.00°, γ = 90.00°
Fractional coordinates of all 5 atoms:
Cs1 0.000 0.000 0.000
Na1 0.500 0.500 0.500
Al1 0.000 0.000 0.500
Al2 0.000 0.500 0.000
Al3 0.500 0.000 0.000



Record 17
Material: CsNa2Al2
Method: DFT, PBE-GGA
State: relaxed

Calculated values
E (eV per atom): -1.920
Space-group type: P4/mbm
Calculated formation energy (eV per atom): 0.28
V (A^3/atom): 32.70
E above lowest polymorph (meV per atom): 4

a = 9.498 Å, b = 9.498 Å, c = 3.625 Å
α = 90.00°, β = 90.00°, γ = 90.00°
Fractional coordinates of all 10 atoms:
Cs1 0.000 0.000 0.000
Cs2 0.500 0.500 0.000
Na1 0.182 0.318 0.500
Na2 0.318 0.818 0.500
Na3 0.682 0.182 0.500
Na4 0.818 0.682 0.500
Al1 0.098 0.598 0.000
Al2 0.402 0.098 0.000
Al3 0.598 0.902 0.000
Al4 0.902 0.402 0.000



Record 18
Material: CsNaAl2
Method: DFT, PBE-GGA
State: relaxed

Calculated values
E (eV per atom): -1.786
Space-group type: Fm-3m
Calculated formation energy (eV per atom): 0.63
V (A^3/atom): 33.88
E above lowest polymorph (meV per atom): 209

a = 5.766 Å, b = 5.766 Å, c = 5.766 Å
α = 60.00°, β = 60.00°, γ = 60.00°
Fractional coordinates of all 4 atoms:
Cs1 0.000 0.000 0.000
Na1 0.500 0.500 0.500
Al1 0.250 0.250 0.250
Al2 0.750 0.750 0.750



Record 19
Material: CsNaAl3
Method: DFT, PBE-GGA
State: relaxed

Calculated values
E (eV per atom): -1.844
Space-group type: Pm-3m
Calculated formation energy (eV per atom): 0.84
V (A^3/atom): 36.05
E above lowest polymorph (meV per atom): 0

a = 5.649 Å, b = 5.649 Å, c = 5.649 Å
α = 90.00°, β = 90.00°, γ = 90.00°
Fractional coordinates of all 5 atoms:
Cs1 0.000 0.000 0.000
Na1 0.500 0.500 0.500
Al1 0.000 0.500 0.500
Al2 0.500 0.000 0.500
Al3 0.500 0.500 0.000



Record 20
Material: CsNa2Al2
Method: DFT, PBE-GGA
State: relaxed

Calculated values
E (eV per atom): -1.924
Space-group type: P4/mbm
Calculated formation energy (eV per atom): 0.27
V (A^3/atom): 31.45
E above lowest polymorph (meV per atom): 0

a = 9.453 Å, b = 9.453 Å, c = 3.520 Å
α = 90.00°, β = 90.00°, γ = 90.00°
Fractional coordinates of all 10 atoms:
Cs1 0.000 0.000 0.000
Cs2 0.500 0.500 0.000
Na1 0.180 0.320 0.000
Na2 0.320 0.820 0.000
Na3 0.680 0.180 0.000
Na4 0.820 0.680 0.000
Al1 0.100 0.600 0.500
Al2 0.400 0.100 0.500
Al3 0.600 0.900 0.500
Al4 0.900 0.400 0.500



Record 21
Material: CsNaNbAl2
Method: DFT, PBE-GGA
State: relaxed

Calculated values
E (eV per atom): -1.780
Space-group type: P4/mmm
Calculated formation energy (eV per atom): 2.17
V (A^3/atom): 33.71

a = 5.660 Å, b = 5.660 Å, c = 5.261 Å
α = 90.00°, β = 90.00°, γ = 90.00°
Fractional coordinates of all 5 atoms:
Cs1 0.000 0.000 0.000
Na1 0.000 0.000 0.500
Nb1 0.500 0.500 0.500
Al1 0.000 0.500 0.000
Al2 0.500 0.000 0.000



Record 22
Material: Cs2NaAlP2O8
Method: DFT, PBE-GGA
State: relaxed

Calculated values
E (eV per atom): -6.530
Space-group type: P2_1/c
V (A^3/atom): 17.93
Raw formation energy (kcal/mol of atoms): -56.28

a = 11.190 Å, b = 9.350 Å, c = 19.198 Å
α = 90.00°, β = 90.26°, γ = 90.00°
Fractional coordinates of all 112 atoms:
Cs1 0.085 0.000 0.119
Cs2 0.085 0.500 0.619
Cs3 0.185 0.044 0.645
Cs4 0.185 0.456 0.145
Cs5 0.311 0.036 0.867
Cs6 0.311 0.464 0.367
Cs7 0.409 0.506 0.899
Cs8 0.409 0.994 0.399
Cs9 0.591 0.006 0.601
Cs10 0.591 0.494 0.101
Cs11 0.689 0.536 0.633
Cs12 0.689 0.964 0.133
Cs13 0.815 0.544 0.855
Cs14 0.815 0.956 0.355
Cs15 0.915 0.000 0.881
Cs16 0.915 0.500 0.381
Na1 0.087 0.146 0.292
Na2 0.087 0.354 0.792
Na3 0.395 0.169 0.040
Na4 0.395 0.331 0.540
Na5 0.605 0.669 0.460
Na6 0.605 0.831 0.960
Na7 0.913 0.646 0.208
Na8 0.913 0.854 0.708
Al1 0.118 0.660 0.958
Al2 0.118 0.840 0.458
Al3 0.386 0.673 0.710
Al4 0.386 0.827 0.210
Al5 0.614 0.173 0.790
Al6 0.614 0.327 0.290
Al7 0.882 0.160 0.542
Al8 0.882 0.340 0.042
P1 0.121 0.187 0.461
P2 0.121 0.313 0.961
P3 0.150 0.729 0.799
P4 0.150 0.771 0.299
P5 0.336 0.711 0.547
P6 0.336 0.789 0.047
P7 0.395 0.174 0.218
P8 0.395 0.326 0.718
P9 0.605 0.674 0.282
P10 0.605 0.826 0.782
P11 0.664 0.211 0.953
P12 0.664 0.289 0.453
P13 0.850 0.229 0.701
P14 0.850 0.271 0.201
P15 0.879 0.687 0.039
P16 0.879 0.813 0.539
O1 0.022 0.229 0.517
O2 0.022 0.271 0.017
O3 0.080 0.596 0.779
O4 0.080 0.904 0.279
O5 0.098 0.024 0.443
O6 0.098 0.227 0.894
O7 0.098 0.273 0.394
O8 0.098 0.476 0.943
O9 0.098 0.633 0.269
O10 0.098 0.867 0.769
O11 0.159 0.746 0.881
O12 0.159 0.754 0.381
O13 0.229 0.690 0.021
O14 0.229 0.810 0.521
O15 0.243 0.205 0.493
O16 0.243 0.295 0.993
O17 0.266 0.197 0.241
O18 0.266 0.303 0.741
O19 0.286 0.716 0.777
O20 0.286 0.784 0.277
O21 0.315 0.556 0.525
O22 0.315 0.944 0.025
O23 0.322 0.724 0.630
O24 0.322 0.776 0.130
O25 0.425 0.009 0.212
O26 0.425 0.491 0.712
O27 0.427 0.248 0.150
O28 0.427 0.252 0.650
O29 0.454 0.726 0.024
O30 0.454 0.774 0.524
O31 0.480 0.228 0.279
O32 0.480 0.272 0.779
O33 0.520 0.728 0.221
O34 0.520 0.772 0.721
O35 0.546 0.226 0.476
O36 0.546 0.274 0.976
O37 0.573 0.748 0.350
O38 0.573 0.752 0.850
O39 0.575 0.509 0.288
O40 0.575 0.991 0.788
O41 0.678 0.224 0.870
O42 0.678 0.276 0.370
O43 0.685 0.056 0.975
O44 0.685 0.444 0.475
O45 0.714 0.216 0.723
O46 0.714 0.284 0.223
O47 0.734 0.697 0.259
O48 0.734 0.803 0.759
O49 0.757 0.705 0.007
O50 0.757 0.795 0.507
O51 0.771 0.190 0.479
O52 0.771 0.310 0.979
O53 0.841 0.246 0.619
O54 0.841 0.254 0.119
O55 0.902 0.133 0.231
O56 0.902 0.367 0.731
O57 0.902 0.524 0.057
O58 0.902 0.727 0.606
O59 0.902 0.773 0.106
O60 0.902 0.976 0.557
O61 0.920 0.096 0.721
O62 0.920 0.404 0.221
O63 0.978 0.729 0.983
O64 0.978 0.771 0.483